No. 1
Zn2TcNi | GGA-PBE | relaxed

Structure (POSCAR):
```
Zn2TcNi
1.0
5.1996 -0.0021 -0.0022
2.5953 4.5056 0.0022
-3.2845 -3.3128 2.2965
Zn Ni Tc
2 1 1
Cartesian
7.7654 4.4864 0.0000
2.8169 -0.5832 1.1471
3.9272 2.2689 0.0000
1.6934 1.7738 1.1493
```

Summary:
**Energy of formation**: 0.069 eV/atom
**Distance to the lowest polymorph of the same formula**: 0.42 eV per formula unit

No. 2
YTl3Co | GGA-PBE | relaxed

Structure (POSCAR):
```
YTl3Co
1.0
-2.6165 2.6784 4.5513
-4.2279 -4.1060 -0.0142
3.1644 -3.2713 3.7443
Co Tl Y
1 3 1
Cartesian
-1.8400 -2.3494 4.1407
-1.3082 1.3392 2.2757
-2.1139 -2.0530 -0.0071
1.5822 -1.6356 1.8721
0.0000 0.0000 0.0000
```

Summary:
**Energy of formation**: 1.192 eV/atom
**Distance to the lowest polymorph of the same formula**: 5.02 eV per formula unit

No. 3
KSrLa2Rh | GGA-PBE | relaxed

Structure (POSCAR):
```
KSrLa2Rh
1.0
-4.0527 3.2640 2.2255
-3.7894 -2.3104 -3.5119
-1.2571 -4.5075 4.3218
La K Sr Rh
2 1 1 1
Cartesian
-2.0263 1.6320 1.1128
-1.8947 -1.1552 -1.7560
-4.5496 -1.7769 1.5177
-0.6285 -2.2538 2.1609
0.0000 0.0000 0.0000
```

Summary:
**Energy of formation**: -0.170 eV/atom

No. 4
VSb2I | GGA-PBE | relaxed

Structure (POSCAR):
```
VSb2I
1.0
-4.8327 4.1103 -0.3308
-4.1045 -4.7461 0.9930
-4.0087 0.8096 7.6219
I Sb V
2 4 2
Cartesian
-6.6550 2.3010 3.8111
0.0000 0.0000 0.0000
-6.8495 -0.1996 6.0836
-3.9569 1.6858 1.8625
-4.7504 -1.7579 2.4451
-10.3351 0.6193 6.1769
-4.4686 -0.3179 0.3311
-6.2909 -2.1272 4.4730
```

Summary:
**Distance to the lowest polymorph of the same formula**: 1.27 eV per formula unit
**E_form (uncorrected)**: 0.5009 eV per atom

No. 5
TaAs | GGA-PBE | relaxed

Structure (POSCAR):
```
TaAs
1.0
9.9031 0.0000 0.0000
0.0000 9.9031 0.0000
0.0000 0.0000 3.5528
Ta As
8 8
Cartesian
3.5462 9.0136 1.7764
9.0136 6.3569 1.7764
5.8411 8.4978 0.0000
0.8896 3.5462 1.7764
8.4978 4.0620 0.0000
6.3569 0.8896 1.7764
4.0620 1.4054 0.0000
1.4054 5.8411 0.0000
1.1677 7.8360 1.7764
2.0672 1.1677 1.7764
7.0187 6.1193 0.0000
2.8844 3.7839 0.0000
7.8360 8.7354 1.7764
8.7354 2.0672 1.7764
3.7839 7.0187 0.0000
6.1193 2.8844 0.0000
```

Summary:
**Energy of formation**: -0.067 eV/atom

No. 6
Pu3Ga6Rh5 | GGA-PBE | relaxed

Structure (POSCAR):
```
Pu3Ga6Rh5
1.0
-3.7976 0.0099 1.7609
-2.5225 -7.2830 -5.3990
4.1218 -8.0510 8.9346
Rh Ga Pu
10 12 6
Cartesian
2.2861 -11.0892 4.9927
1.2169 -7.7909 7.6438
0.5446 -11.5636 1.2396
-0.3519 -5.5046 4.2476
-0.7611 -9.0133 -1.5906
-0.5246 -8.2653 3.8907
-1.5993 -2.2902 1.5394
-2.0085 -5.7990 -4.2989
-1.4592 -6.4397 1.8648
-0.9011 -4.8639 -1.9160
1.9763 -4.2697 4.2863
-2.1977 -4.4699 0.2611
-4.3367 -7.0338 -4.3375
1.3297 -9.7486 2.9226
-3.3738 -4.2537 -2.2766
1.0134 -7.0498 2.2253
-0.1627 -6.8336 -0.3123
0.7432 -5.3678 6.6087
1.0182 -13.9867 2.2747
0.4317 -9.6059 5.9608
-1.8537 -8.3772 -3.9504
-0.5067 -2.9263 3.8992
-2.9832 -7.0604 -1.4184
2.2485 -7.4184 4.8909
-0.6803 -1.9641 -1.4560
-0.4870 -11.9361 3.9925
0.6229 -4.2431 1.3672
-1.6801 -9.3395 1.4048
```

Summary:
**Energy of formation**: -0.594 eV/atom

Computed values of density (unit: Mg/m³) for the preceding records, in sequence: 8.87; 6.17; 4.13; 4.69; 9.76; 11.04.
Computed values of total moment (unit: μB/f.u.) for the preceding records, in sequence: 0.005; 2.301; 0.002; 1.276; 0.000; 15.378.